PBE Ca2ZrB2Rh5, relaxed; space group = P4/mbm (127); energy of formation = -58.7 kJ per mole of atoms; E_tot = -6.88 eV per atom
1.0
-1.875 -2.143 1.171
-2.326 -2.977 -9.174
7.518 -6.472 0.194
Zr Ca Rh B
2 4 10 4
direct
0.000 0.500 0.500
0.000 0.000 0.000
0.000 0.824 0.676
0.000 0.176 0.324
0.000 0.324 0.824
0.000 0.676 0.176
0.500 0.071 0.774
0.500 0.000 0.500
0.500 0.571 0.726
0.500 0.726 0.429
0.500 0.500 0.000
0.500 0.774 0.929
0.500 0.429 0.274
0.500 0.274 0.571
0.500 0.929 0.226
0.500 0.226 0.071
0.000 0.119 0.619
0.000 0.881 0.381
0.000 0.381 0.119
0.000 0.619 0.881